a) MgCBr2 | PBE-GGA | relaxed

Values from the calculation:
Spin magnetization = 0.500 μB/atom

Unit cell a=3.9674 b=3.9674 c=23.9265 alpha=90.00 beta=90.00 gamma=120.00
With the nearest neighbours (Å) after each atom.
Space group R-3m (No. 166, hexagonal axes)
Inequivalent atoms, fractional coordinates:
Mg 0.0000 0.0000 0.0000 [3 per cell]  6 Br 2.72
C 0.0000 0.0000 0.5000 [3 per cell]  2 Br 2.52
Br 0.0000 0.0000 0.3947 [6 per cell]  1 C 2.52, 3 Mg 2.72

---

b) MgCBr2 | PBE-GGA | relaxed

Values from the calculation:
Spin magnetization = 0.000 μB/atom

Unit cell a=3.5022 b=3.5022 c=25.9469 alpha=90.00 beta=90.00 gamma=120.00
With the nearest neighbours (Å) after each atom.
Space group R-3m (No. 166, hexagonal axes)
Inequivalent atoms, fractional coordinates:
Mg 0.0000 0.0000 0.0000 [3 per cell]  2 Br 2.88
C 0.0000 0.0000 0.5000 [3 per cell]  6 Br 2.49
Br 0.0000 0.0000 0.1109 [6 per cell]  3 C 2.49

---

Stability, descending: a), b)

---

a) MgCBr2 | PBE-GGA | relaxed

Values from the calculation:
Spin magnetization = 0.000 μB/atom

Unit cell a=4.9666 b=4.9666 c=15.2230 alpha=90.00 beta=90.00 gamma=90.00
With the nearest neighbours (Å) after each atom.
Space group I-42d (No. 122)
Inequivalent atoms, fractional coordinates:
Mg 0.0000 0.0000 0.0000 [4 per cell]  4 Br 2.65
C 0.0000 0.0000 0.5000 [4 per cell]  4 Br 2.54
Br 0.2263 0.2500 0.6250 [8 per cell]  2 C 2.54, 2 Mg 2.65

---

b) MgCBr2 | PBE-GGA | relaxed

Values from the calculation:
Spin magnetization = 0.500 μB/atom

Unit cell a=6.8972 b=6.8972 c=6.8972 alpha=90.00 beta=90.00 gamma=90.00
With the nearest neighbours (Å) after each atom.
Space group Fm-3m (No. 225)
Inequivalent atoms, fractional coordinates:
Mg 0.0000 0.0000 0.0000 [4 per cell]  8 Br 2.99
C 0.0000 0.0000 0.5000 [4 per cell]  8 Br 2.99
Br 0.2500 0.2500 0.2500 [8 per cell]  4 Mg 2.99, 4 C 2.99

---

Stability, descending: a), b)

---

a) MgC2Br | PBE-GGA | relaxed

Values from the calculation:
Spin magnetization = 0.247 μB/atom

Unit cell a=5.0531 b=5.0531 c=10.1027 alpha=90.00 beta=90.00 gamma=90.00
With the nearest neighbours (Å) after each atom.
Space group I-42d (No. 122)
Inequivalent atoms, fractional coordinates:
Mg 0.0000 0.0000 0.0000 [4 per cell]  4 C 2.22
C 0.2394 0.2500 0.6250 [8 per cell]  2 Br 2.16, 2 Mg 2.22
Br 0.0000 0.0000 0.5000 [4 per cell]  4 C 2.16

---

b) MgC2Br | PBE-GGA | relaxed

Values from the calculation:
Spin magnetization = 0.000 μB/atom

Unit cell a=6.0011 b=6.0011 c=6.0011 alpha=90.00 beta=90.00 gamma=90.00
With the nearest neighbours (Å) after each atom.
Space group Fm-3m (No. 225)
Inequivalent atoms, fractional coordinates:
Mg 0.0000 0.0000 0.0000 [4 per cell]  8 C 2.60
C 0.2500 0.2500 0.2500 [8 per cell]  4 Br 2.60, 4 Mg 2.60
Br 0.0000 0.0000 0.5000 [4 per cell]  8 C 2.60

---

Stability, descending: a), b)

---

a) MgCSe2Br | PBE-GGA | relaxed

Values from the calculation:
Spin magnetization = 0.000 μB/atom

Unit cell a=5.0904 b=5.0904 c=4.9738 alpha=90.00 beta=90.00 gamma=90.00
With the nearest neighbours (Å) after each atom.
Space group P4/mmm (No. 123)
Inequivalent atoms, fractional coordinates:
Mg 0.0000 0.0000 0.0000 [1 per cell]  2 Br 2.49, 4 Se 2.55
C 0.5000 0.5000 0.5000 [1 per cell]  8 Se 3.56, 4 Br 3.60
Se 0.0000 0.5000 0.0000 [2 per cell]  2 Mg 2.55
Br 0.0000 0.0000 0.5000 [1 per cell]  2 Mg 2.49

---

b) MgCSe2Br | PBE-GGA | relaxed

Values from the calculation:
Spin magnetization = 0.000 μB/atom

Unit cell a=4.3194 b=4.3194 c=5.3933 alpha=90.00 beta=90.00 gamma=90.00
With the nearest neighbours (Å) after each atom.
Space group P4/mmm (No. 123)
Inequivalent atoms, fractional coordinates:
Mg 0.0000 0.0000 0.0000 [1 per cell]  4 Br 3.05
C 0.5000 0.5000 0.5000 [1 per cell]  4 Se 2.16
Se 0.0000 0.5000 0.5000 [2 per cell]  2 C 2.16
Br 0.5000 0.5000 0.0000 [1 per cell]  2 C 2.70

---

Stability, descending: b), a)

---

a) MgCSeBr2 | PBE-GGA | relaxed

Values from the calculation:
Spin magnetization = 0.000 μB/atom

Unit cell a=5.0486 b=5.0486 c=5.3031 alpha=90.00 beta=90.00 gamma=90.00
With the nearest neighbours (Å) after each atom.
Space group P4/mmm (No. 123)
Inequivalent atoms, fractional coordinates:
Mg 0.0000 0.0000 0.0000 [1 per cell]  4 Br 2.52, 2 Se 2.65
C 0.5000 0.5000 0.5000 [1 per cell]  4 Se 3.57, 8 Br 3.66
Se 0.0000 0.0000 0.5000 [1 per cell]  2 Mg 2.65
Br 0.0000 0.5000 0.0000 [2 per cell]  2 Mg 2.52

---

b) MgCSeBr2 | PBE-GGA | relaxed

Values from the calculation:
Spin magnetization = 0.000 μB/atom

Unit cell a=4.7774 b=4.7774 c=4.4783 alpha=90.00 beta=90.00 gamma=90.00
With the nearest neighbours (Å) after each atom.
Space group P4/mmm (No. 123)
Inequivalent atoms, fractional coordinates:
Mg 0.0000 0.0000 0.0000 [1 per cell]  8 Br 3.27, 4 Se 3.38
C 0.5000 0.5000 0.5000 [1 per cell]  2 Se 2.24, 4 Br 2.39
Se 0.5000 0.5000 0.0000 [1 per cell]  2 C 2.24
Br 0.0000 0.5000 0.5000 [2 per cell]  2 C 2.39

---

Stability, descending: b), a)

---

a) MnC2Br | PBE-GGA | relaxed

Values from the calculation:
Spin magnetization = 0.000 μB/atom

Unit cell a=5.1802 b=5.1802 c=9.0146 alpha=90.00 beta=90.00 gamma=90.00
With the nearest neighbours (Å) after each atom.
Space group I-42d (No. 122)
Inequivalent atoms, fractional coordinates:
Mn 0.0000 0.0000 0.0000 [4 per cell]  4 C 1.80
C 0.1032 0.2500 0.1250 [8 per cell]  2 Mn 1.80
Br 0.0000 0.0000 0.5000 [4 per cell]  4 C 2.68

---

b) MnC2Br | PBE-GGA | relaxed

Values from the calculation:
Spin magnetization = 0.000 μB/atom

Unit cell a=5.4838 b=5.4838 c=5.4838 alpha=90.00 beta=90.00 gamma=90.00
With the nearest neighbours (Å) after each atom.
Space group Fm-3m (No. 225)
Inequivalent atoms, fractional coordinates:
Mn 0.0000 0.0000 0.0000 [4 per cell]  8 C 2.37
C 0.2500 0.2500 0.2500 [8 per cell]  4 Mn 2.37, 4 Br 2.37
Br 0.0000 0.0000 0.5000 [4 per cell]  8 C 2.37

---

Stability, descending: a), b)

---

a) MnPCBr | PBE-GGA | relaxed

Values from the calculation:
Spin magnetization = 0.727 μB/atom

Unit cell a=3.0545 b=3.3985 c=7.5417 alpha=83.84 beta=89.83 gamma=89.99
With the nearest neighbours (Å) after each atom.
Space group P1 (No. 1)
Inequivalent atoms, fractional coordinates:
Mn 0.0000 0.0000 0.0000 [1 per cell]  2 C 1.99-2.14
P 0.4978 0.2448 0.2405 [1 per cell]  2 C 1.82
C 0.9983 0.4901 0.1558 [1 per cell]  2 P 1.82, 1 Mn 1.99
Br 0.0050 0.5783 0.7554 [1 per cell]  2 Mn 2.45-2.55

---

b) MnPCBr | PBE-GGA | relaxed

Values from the calculation:
Spin magnetization = 0.571 μB/atom

Unit cell a=3.3188 b=3.4156 c=7.0123 alpha=90.00 beta=98.45 gamma=90.00
With the nearest neighbours (Å) after each atom.
Space group Pm (No. 6)
Inequivalent atoms, fractional coordinates:
Mn 0.0000 0.0000 0.0000 [1 per cell]  2 C 1.92
P 0.7555 0.5000 0.2189 [1 per cell]  2 C 1.88-1.91
C 0.2204 0.5000 0.0872 [1 per cell]  2 P 1.88-1.91, 2 Mn 1.92
Br 0.4231 0.0000 0.7317 [1 per cell]  2 Mn 2.48-2.51

---

Stability, descending: a), b)

---

a) MnPCBr | PBE-GGA | relaxed

Values from the calculation:
Spin magnetization = 0.827 μB/atom

Unit cell a=2.8508 b=3.3144 c=8.0692 alpha=90.00 beta=90.00 gamma=90.00
With the nearest neighbours (Å) after each atom.
Space group Pmm2 (No. 25)
Inequivalent atoms, fractional coordinates:
Mn 0.0000 0.0000 0.0000 [1 per cell]  4 C 2.29, 2 P 2.48
P 0.0000 0.5000 0.7720 [1 per cell]  2 C 1.83
C 0.5000 0.5000 0.9144 [1 per cell]  2 P 1.83
Br 0.5000 0.0000 0.2755 [1 per cell]  2 Mn 2.64, 2 Br 2.85

---

b) MnPCBr | PBE-GGA | relaxed

Values from the calculation:
Spin magnetization = 0.245 μB/atom

Unit cell a=6.1569 b=3.1823 c=8.0274 alpha=90.00 beta=109.14 gamma=90.00
With the nearest neighbours (Å) after each atom.
Space group Cm (No. 8)
Inequivalent atoms, fractional coordinates:
Mn 0.0000 0.0000 0.0000 [2 per cell]  3 C 1.97-2.09
P 0.3935 0.0000 0.7674 [2 per cell]  1 C 1.70
C 0.1619 0.5000 0.9182 [2 per cell]  1 P 1.70
Br 0.4361 0.0000 0.2320 [2 per cell]  3 Mn 2.58-2.72

---

Stability, descending: b), a)

---

a) MnCSe2Br | PBE-GGA | relaxed

Values from the calculation:
Spin magnetization = 0.006 μB/atom

Unit cell a=4.3725 b=4.3725 c=4.6209 alpha=90.00 beta=90.00 gamma=90.00
With the nearest neighbours (Å) after each atom.
Space group P4/mmm (No. 123)
Inequivalent atoms, fractional coordinates:
Mn 0.0000 0.0000 0.0000 [1 per cell]  4 Br 3.09, 8 Se 3.18
C 0.5000 0.5000 0.5000 [1 per cell]  4 Se 2.19, 2 Br 2.31
Se 0.0000 0.5000 0.5000 [2 per cell]  2 C 2.19
Br 0.5000 0.5000 0.0000 [1 per cell]  2 C 2.31

---

b) MnCSe2Br | PBE-GGA | relaxed

Values from the calculation:
Spin magnetization = 0.263 μB/atom

Unit cell a=4.5218 b=4.5218 c=5.2886 alpha=90.00 beta=90.00 gamma=90.00
With the nearest neighbours (Å) after each atom.
Space group P4/mmm (No. 123)
Inequivalent atoms, fractional coordinates:
Mn 0.0000 0.0000 0.0000 [1 per cell]  4 Se 2.26
C 0.5000 0.5000 0.5000 [1 per cell]  4 Br 3.20, 8 Se 3.48
Se 0.0000 0.5000 0.0000 [2 per cell]  2 Mn 2.26
Br 0.0000 0.0000 0.5000 [1 per cell]  2 Mn 2.64

---

Stability, descending: b), a)

---

a) MoCSe2Br | PBE-GGA | relaxed

Values from the calculation:
Spin magnetization = 0.543 μB/atom

Unit cell a=4.8911 b=4.8911 c=5.2082 alpha=90.00 beta=90.00 gamma=90.00
With the nearest neighbours (Å) after each atom.
Space group P4/mmm (No. 123)
Inequivalent atoms, fractional coordinates:
Mo 0.0000 0.0000 0.0000 [1 per cell]  4 Se 2.45, 2 Br 2.60
C 0.5000 0.5000 0.5000 [1 per cell]  4 Br 3.46, 8 Se 3.57
Se 0.0000 0.5000 0.0000 [2 per cell]  2 Mo 2.45
Br 0.0000 0.0000 0.5000 [1 per cell]  2 Mo 2.60

---

b) MoCSe2Br | PBE-GGA | relaxed

Values from the calculation:
Spin magnetization = 0.000 μB/atom

Unit cell a=4.3289 b=4.3289 c=4.4405 alpha=90.00 beta=90.00 gamma=90.00
With the nearest neighbours (Å) after each atom.
Space group P4/mmm (No. 123)
Inequivalent atoms, fractional coordinates:
Mo 0.0000 0.0000 0.0000 [1 per cell]  4 Br 3.06, 8 Se 3.10
C 0.5000 0.5000 0.5000 [1 per cell]  4 Se 2.16, 2 Br 2.22
Se 0.0000 0.5000 0.5000 [2 per cell]  2 C 2.16
Br 0.5000 0.5000 0.0000 [1 per cell]  2 C 2.22

---

Stability, descending: a), b)

---

a) NaC2Br | PBE-GGA | relaxed

Values from the calculation:
Spin magnetization = 0.000 μB/atom

Unit cell a=5.8888 b=5.8888 c=7.2547 alpha=90.00 beta=90.00 gamma=90.00
With the nearest neighbours (Å) after each atom.
Space group I-42d (No. 122)
Inequivalent atoms, fractional coordinates:
Na 0.0000 0.0000 0.0000 [4 per cell]  4 C 2.57
C 0.1764 0.2500 0.6250 [8 per cell]  2 Br 2.02
Br 0.0000 0.0000 0.5000 [4 per cell]  4 C 2.02

---

b) NaC2Br | PBE-GGA | relaxed

Values from the calculation:
Spin magnetization = 0.000 μB/atom

Unit cell a=6.1117 b=6.1117 c=6.1117 alpha=90.00 beta=90.00 gamma=90.00
With the nearest neighbours (Å) after each atom.
Space group Fm-3m (No. 225)
Inequivalent atoms, fractional coordinates:
Na 0.0000 0.0000 0.0000 [4 per cell]  8 C 2.65
C 0.2500 0.2500 0.2500 [8 per cell]  4 Br 2.65, 4 Na 2.65
Br 0.0000 0.0000 0.5000 [4 per cell]  8 C 2.65

---

Stability, descending: a), b)

---

a) Na2CBr | PBE-GGA | relaxed

Values from the calculation:
Spin magnetization = 0.750 μB/atom

Unit cell a=7.0608 b=7.0608 c=7.0608 alpha=90.00 beta=90.00 gamma=90.00
With the nearest neighbours (Å) after each atom.
Space group Fm-3m (No. 225)
Inequivalent atoms, fractional coordinates:
Na 0.2500 0.2500 0.2500 [8 per cell]  4 Br 3.06, 4 C 3.06
C 0.0000 0.0000 0.0000 [4 per cell]  8 Na 3.06
Br 0.0000 0.0000 0.5000 [4 per cell]  8 Na 3.06

---

b) Na2CBr | PBE-GGA | relaxed

Values from the calculation:
Spin magnetization = 0.750 μB/atom

Unit cell a=7.0594 b=7.0594 c=8.9386 alpha=90.00 beta=90.00 gamma=90.00
With the nearest neighbours (Å) after each atom.
Space group I-42d (No. 122)
Inequivalent atoms, fractional coordinates:
Na 0.2162 0.2500 0.1250 [8 per cell]  2 C 2.59, 2 Br 2.89
C 0.0000 0.0000 0.0000 [4 per cell]  4 Na 2.59
Br 0.0000 0.0000 0.5000 [4 per cell]  4 Na 2.89

---

Stability, descending: b), a)

---

a) NaCSeBr2 | PBE-GGA | relaxed

Values from the calculation:
Spin magnetization = 0.203 μB/atom

Unit cell a=5.4313 b=5.4313 c=5.7351 alpha=90.00 beta=90.00 gamma=90.00
With the nearest neighbours (Å) after each atom.
Space group P4/mmm (No. 123)
Inequivalent atoms, fractional coordinates:
Na 0.0000 0.0000 0.0000 [1 per cell]  4 Br 2.72, 2 Se 2.87
C 0.5000 0.5000 0.5000 [1 per cell]  4 Se 3.84, 8 Br 3.95
Se 0.0000 0.0000 0.5000 [1 per cell]  2 Na 2.87
Br 0.0000 0.5000 0.0000 [2 per cell]  2 Na 2.72

---

b) NaCSeBr2 | PBE-GGA | relaxed

Values from the calculation:
Spin magnetization = 0.000 μB/atom

Unit cell a=5.5253 b=5.5253 c=3.9791 alpha=90.00 beta=90.00 gamma=90.00
With the nearest neighbours (Å) after each atom.
Space group P4/mmm (No. 123)
Inequivalent atoms, fractional coordinates:
Na 0.0000 0.0000 0.0000 [1 per cell]  8 Br 3.40
C 0.5000 0.5000 0.5000 [1 per cell]  2 Se 1.99
Se 0.5000 0.5000 0.0000 [1 per cell]  2 C 1.99
Br 0.0000 0.5000 0.5000 [2 per cell]  2 C 2.76

---

Stability, descending: b), a)

---

a) NbCS2Br | PBE-GGA | relaxed

Values from the calculation:
Spin magnetization = 0.000 μB/atom

Unit cell a=4.2180 b=4.2180 c=4.5488 alpha=90.00 beta=90.00 gamma=90.00
With the nearest neighbours (Å) after each atom.
Space group P4/mmm (No. 123)
Inequivalent atoms, fractional coordinates:
Nb 0.0000 0.0000 0.0000 [1 per cell]  2 C 2.27
C 0.0000 0.0000 0.5000 [1 per cell]  4 S 2.11, 2 Nb 2.27
S 0.0000 0.5000 0.5000 [2 per cell]  2 C 2.11
Br 0.5000 0.5000 0.0000 [1 per cell]  4 Nb 2.98, 8 S 3.10

---

b) NbCS2Br | PBE-GGA | relaxed

Values from the calculation:
Spin magnetization = 0.002 μB/atom

Unit cell a=4.8748 b=4.8748 c=4.2489 alpha=90.00 beta=90.00 gamma=90.00
With the nearest neighbours (Å) after each atom.
Space group P4/mmm (No. 123)
Inequivalent atoms, fractional coordinates:
Nb 0.0000 0.0000 0.0000 [1 per cell]  2 C 2.12
C 0.0000 0.0000 0.5000 [1 per cell]  2 Nb 2.12
S 0.0000 0.5000 0.0000 [2 per cell]  2 Nb 2.44
Br 0.5000 0.5000 0.5000 [1 per cell]  8 S 3.23, 4 C 3.45

---

Stability, descending: b), a)